First-principles (PBE) data for crystalline SrLiSCl2 at its relaxed geometry, as listed in Alexandria via LeMat-Bulk.

```
5
Lattice="4.722 0.000 0.000 0.000 4.722 0.000 0.000 0.000 4.977" Properties=species:S:1:pos:R:3 pbc="T T T"
Cl 2.361 0.000 0.000
Cl 0.000 2.361 0.000
S 0.000 0.000 2.488
Li 0.000 0.000 0.000
Sr 2.361 2.361 2.488
```

Calculated values
Energy above the lowest structure with this stoichiometry = 0.00 eV/f.u.
Density of states at the Fermi level = 2.67 states/eV per cell
Formation energy without anion corrections = -1.470 eV per atom
Spin magnetization = 1.009 μB/cell